First-principles (PBE) data for La3Ga2GePd6 after structural relaxation, as listed in Alexandria via LeMat-Bulk.

Properties
D(E_F): 4.63 states/eV/f.u.
Volume: 252 Å³/f.u.
DFT formation energy: -0.730 eV/atom

a = 5.772 Å, b = 5.772 Å, c = 8.726 Å
α = 90.00°, β = 90.00°, γ = 120.00°
Sites, in units of the cell vectors:
La: 0.000 0.000 0.000
La: 0.333 0.667 0.621
La: 0.667 0.333 0.379
Ga: 0.333 0.667 0.027
Ga: 0.667 0.333 0.973
Ge: 0.000 0.000 0.500
Pd: 0.173 0.345 0.277
Pd: 0.173 0.827 0.277
Pd: 0.345 0.173 0.723
Pd: 0.655 0.827 0.277
Pd: 0.827 0.173 0.723
Pd: 0.827 0.655 0.723


First-principles (PBE) data for MoPbC3 after structural relaxation, as listed in Alexandria via LeMat-Bulk.

Properties
D(E_F): 3.01 states/eV/f.u.
Volume: 73 Å³/f.u.
DFT formation energy: 1.701 eV/atom

a = 4.183 Å, b = 4.183 Å, c = 4.183 Å
α = 90.00°, β = 90.00°, γ = 90.00°
Sites, in units of the cell vectors:
Mo: 0.000 0.000 0.000
Pb: 0.500 0.500 0.500
C: 0.000 0.000 0.500
C: 0.000 0.500 0.000
C: 0.500 0.000 0.000


First-principles (PBE) data for MnNiH2 after structural relaxation, as listed in Alexandria via LeMat-Bulk.

Properties
D(E_F): 3.50 states/eV/f.u.
Volume: 30 Å³/f.u.
Energy: -5.043 eV/atom

a = 3.491 Å, b = 3.491 Å, c = 3.491 Å
α = 60.00°, β = 60.00°, γ = 60.00°
Sites, in units of the cell vectors:
Mn: 0.000 0.000 0.000
Ni: 0.500 0.500 0.500
H: 0.250 0.250 0.250
H: 0.750 0.750 0.750


First-principles (PBE) data for HoCdAg3 after structural relaxation, as listed in Alexandria via LeMat-Bulk.

Properties
D(E_F): 1.93 states/eV/f.u.
Volume: 102 Å³/f.u.
DFT formation energy: -0.215 eV/atom

a = 5.064 Å, b = 5.173 Å, c = 8.155 Å
α = 72.36°, β = 89.97°, γ = 89.91°
Sites, in units of the cell vectors:
Ho: 0.250 0.089 0.198
Ho: 0.750 0.911 0.802
Cd: 0.249 0.314 0.788
Cd: 0.751 0.686 0.212
Ag: 0.250 0.478 0.410
Ag: 0.250 0.894 0.594
Ag: 0.251 0.684 0.002
Ag: 0.749 0.316 0.998
Ag: 0.750 0.106 0.406
Ag: 0.750 0.522 0.590